DFT (PBE) results for crystalline La2MgIrN at its relaxed geometry.

Structure (CIF):
```
data_La2MgIrN
_cell_length_a 5.4221
_cell_length_b 5.4221
_cell_length_c 4.8581
_cell_angle_alpha 90.00
_cell_angle_beta 90.00
_cell_angle_gamma 90.00
_symmetry_space_group_name_H-M 'P 4/m m m'
_symmetry_Int_Tables_number 123
_symmetry_space_group_name_Hall '-P 4 2'
loop_
_atom_site_label
_atom_site_type_symbol
_atom_site_fract_x
_atom_site_fract_y
_atom_site_fract_z
_atom_site_occupancy
La1 La 0.0000 0.5000 0.0000 1
Mg1 Mg 0.0000 0.0000 0.5000 1
Ir1 Ir 0.0000 0.0000 0.0000 1
N1 N 0.5000 0.5000 0.5000 1
```

Results
Magnetic moment   0.0 μB/f.u.
Mass density   5.91 g cm⁻³
Energy relative to the lowest polymorph listed for this composition   1.030 eV per atom
Energy relative to the elements, uncorrected   334 meV per atom

=====

DFT (PBE) results for crystalline TlPPb at its relaxed geometry.

Structure (CIF):
```
data_TlPPb
_cell_length_a 5.2404
_cell_length_b 5.2404
_cell_length_c 3.3236
_cell_angle_alpha 90.00
_cell_angle_beta 90.00
_cell_angle_gamma 120.00
_symmetry_space_group_name_H-M 'P 3 m 1'
_symmetry_Int_Tables_number 156
_symmetry_space_group_name_Hall 'P 3 -2"'
loop_
_atom_site_label
_atom_site_type_symbol
_atom_site_fract_x
_atom_site_fract_y
_atom_site_fract_z
_atom_site_occupancy
Tl1 Tl 0.0000 0.0000 0.0000 1
P1 P 0.6667 0.3333 0.4958 1
Pb1 Pb 0.3333 0.6667 0.4989 1
```

Results
Magnetic moment   0.0 μB/f.u.
Mass density   9.30 g cm⁻³
Energy relative to the lowest polymorph listed for this composition   0.255 eV per atom
DFT formation energy   0.308 eV per atom